Material: TbLuTe
Method: DFT, GGA-PBE
State: relaxed

It has space group F-43m (No. 216), with a = 7.116 Å, b = 7.116 Å, c = 7.116 Å, α = 90.00°, β = 90.00° and γ = 90.00°. The asymmetric unit holds Tb at (0.000, 0.000, 0.000), Lu at (0.000, 0.000, 0.500) and Te at (0.250, 0.250, 0.750).

The total energy comes out at -4.48 eV per atom.

=====

Material: TbLuTlTe3
Method: DFT, GGA-PBE
State: relaxed

It has space group Cmcm (No. 63), with a = 4.427 Å, b = 15.358 Å, c = 11.986 Å, α = 90.00°, β = 90.00° and γ = 90.00°. The asymmetric unit holds Tb at (0.000, 0.000, 0.000), Lu at (0.000, 0.441, 0.250), Tl at (0.000, 0.248, 0.750), Te at (0.000, 0.066, 0.250) and Te at (0.000, 0.358, 0.034).

The total energy comes out at -4.45 eV per atom.